Compound: K2DyAgI6
Source: the Alexandria database
Functional: PBE
Structure: relaxed

Computed properties:
**DOS at the Fermi energy**: 0.0 states/eV/f.u.
**Crystal system**: monoclinic
**Raw total energy**: -3.0769 eV per atom

```
data_K2DyAgI6
_chemical_formula_sum 'K4 Dy2 Ag2 I12'
_cell_length_a 8.190
_cell_length_b 8.636
_cell_length_c 14.142
_cell_angle_alpha 90.00
_cell_angle_beta 125.30
_cell_angle_gamma 90.00
_symmetry_space_group_name_H-M 'P 1 21/c 1'
_symmetry_Int_Tables_number 14
loop_
_symmetry_equiv_pos_as_xyz
'x,y,z'
'-x,-y,-z'
'-x,y+1/2,-z+1/2'
'x,-y+1/2,z+1/2'
loop_
_atom_site_label
_atom_site_type_symbol
_atom_site_fract_x
_atom_site_fract_y
_atom_site_fract_z
_atom_site_occupancy
K1 K 0.220 0.086 0.249 1
Dy1 Dy 0.500 0.000 0.000 1
Ag1 Ag 0.000 0.000 0.500 1
I1 I 0.144 0.190 0.947 1
I2 I 0.264 0.702 0.950 1
I3 I 0.353 0.021 0.747 1
```

=====

Compound: BeCo2Br
Source: the Alexandria database
Functional: PBE
Structure: relaxed

Computed properties:
**DOS at the Fermi energy**: 5.9 states/eV/f.u.
**Crystal system**: cubic
**Raw total energy**: -4.0082 eV per atom

```
data_BeCo2Br
_chemical_formula_sum 'Be4 Co8 Br4'
_cell_length_a 5.923
_cell_length_b 5.923
_cell_length_c 5.923
_cell_angle_alpha 90.00
_cell_angle_beta 90.00
_cell_angle_gamma 90.00
_symmetry_space_group_name_H-M 'F -4 3 m'
_symmetry_Int_Tables_number 216
_symmetry_space_group_name_Hall 'F -4 2 3'
loop_
_atom_site_label
_atom_site_type_symbol
_atom_site_fract_x
_atom_site_fract_y
_atom_site_fract_z
_atom_site_occupancy
Be1 Be 0.000 0.000 0.000 1
Co1 Co 0.000 0.000 0.500 1
Co2 Co 0.250 0.250 0.750 1
Br1 Br 0.250 0.250 0.250 1
```

=====

Compound: La2CdN
Source: the Alexandria database
Functional: PBE
Structure: relaxed

Computed properties:
**DOS at the Fermi energy**: 4.2 states/eV/f.u.
**Crystal system**: trigonal
**Raw total energy**: -5.5164 eV per atom

```
data_La2CdN
_chemical_formula_sum 'La6 Cd3 N3'
_cell_length_a 3.6997
_cell_length_b 3.6997
_cell_length_c 25.8721
_cell_angle_alpha 90.00
_cell_angle_beta 90.00
_cell_angle_gamma 120.00
_symmetry_space_group_name_H-M 'R -3 m'
_symmetry_Int_Tables_number 166
_symmetry_space_group_name_Hall '-R 3 2"'
loop_
_atom_site_label
_atom_site_type_symbol
_atom_site_fract_x
_atom_site_fract_y
_atom_site_fract_z
_atom_site_occupancy
La1 La 0.0000 0.0000 0.2215 1
Cd1 Cd 0.0000 0.0000 0.0000 1
N1 N 0.0000 0.0000 0.5000 1
```

=====

Compound: PmPr2Au6
Source: the Alexandria database
Functional: PBE
Structure: relaxed

Computed properties:
**ΔH_f (0 K)**: -755 meV/atom
**DOS at the Fermi energy**: 6.9 states/eV/f.u.
**Crystal system**: hexagonal
**Raw total energy**: -4.5298 eV per atom

```
data_PmPr2Au6
_chemical_formula_sum 'Pm1 Pr2 Au6'
_cell_length_a 8.2525
_cell_length_b 8.2525
_cell_length_c 3.6314
_cell_angle_alpha 90.00
_cell_angle_beta 90.00
_cell_angle_gamma 120.00
_symmetry_space_group_name_H-M 'P 6/m m m'
_symmetry_Int_Tables_number 191
_symmetry_space_group_name_Hall '-P 6 2'
loop_
_atom_site_label
_atom_site_type_symbol
_atom_site_fract_x
_atom_site_fract_y
_atom_site_fract_z
_atom_site_occupancy
Pm1 Pm 0.0000 0.0000 0.0000 1
Pr1 Pr 0.3333 0.6667 0.0000 1
Au1 Au 0.0000 0.3326 0.5000 1
```

=====

Compound: PaTcRh
Source: the Alexandria database
Functional: PBE
Structure: relaxed

Computed properties:
**ΔH_f (0 K)**: -386 meV/atom
**DOS at the Fermi energy**: 4.4 states/eV/f.u.
**Crystal system**: hexagonal
**Raw total energy**: -9.4574 eV per atom

```
data_PaTcRh
_chemical_formula_sum 'Pa2 Tc2 Rh2'
_cell_length_a 4.6239
_cell_length_b 4.6239
_cell_length_c 5.7860
_cell_angle_alpha 90.00
_cell_angle_beta 90.00
_cell_angle_gamma 120.00
_symmetry_space_group_name_H-M 'P 63/m m c'
_symmetry_Int_Tables_number 194
_symmetry_space_group_name_Hall '-P 6c 2c'
loop_
_atom_site_label
_atom_site_type_symbol
_atom_site_fract_x
_atom_site_fract_y
_atom_site_fract_z
_atom_site_occupancy
Pa1 Pa 0.3333 0.6667 0.2500 1
Tc1 Tc 0.3333 0.6667 0.7500 1
Rh1 Rh 0.0000 0.0000 0.0000 1
```